This record from Alexandria describes an optimized crystal structure of Li2MnV4CuO12. The functional is GGA+U.

Values from the calculation:
**SG**: C2 (5)
**Calculated total energy**: -7.02 eV/atom

```
20
Lattice="-6.3293 -2.8415 -1.4429 2.7865 -5.8890 -2.7878 -0.8160 -4.1364 3.8418" Properties=species:S:1:pos:R:3 pbc="T T T"
Li 0.4469 -7.3114 -0.5819
Li -4.4134 -3.4820 -1.7256
Mn -5.8204 -5.2162 0.3427
V -1.6223 -6.3678 -2.9740
V -3.7591 -7.9447 -0.8731
V -1.0687 -7.0566 2.3391
V -2.3188 -4.3474 0.7379
Cu 1.6537 -5.5103 -2.6207
O -2.8779 -11.5840 -0.4057
O -0.0277 -6.6765 -2.4485
O -4.1931 -9.0785 -2.1688
O -2.5990 -8.8370 0.2401
O 0.1955 -7.7036 1.3918
O -2.7835 -6.6172 -1.6486
O -1.1955 -4.2185 -0.7122
O -5.0288 -7.2594 0.0755
O -2.1542 -6.0562 1.3451
O 0.3797 -1.9048 -0.2577
O -3.9406 -4.0662 0.2158
O -1.6446 -3.2939 1.9981
```